Crystalline SrBePt at its relaxed geometry. Source: Alexandria, functional GGA-PBE.

```
3
Lattice="5.898 0.001 -0.014 4.055 4.283 0.014 -4.970 -2.156 2.331" Properties=species:S:1:pos:R:3 pbc="T T T"
Be 9.373 4.034 0.000
Pt 3.856 1.660 0.000
Sr 6.675 2.873 0.000
```

Values from the calculation:
* DFT formation energy: -1.03 eV/f.u.
* space group: No. 107

Crystalline Pm6BiRu2 at its relaxed geometry. Source: Alexandria, functional GGA-PBE.

```
18
Lattice="1.883 -8.240 -2.348 7.328 4.301 2.182 -5.152 0.396 7.090" Properties=species:S:1:pos:R:3 pbc="T T T"
Ru 5.423 -0.204 3.401
Ru 3.041 -1.300 -0.055
Ru 6.171 -2.639 -0.111
Ru -1.364 -3.339 3.522
Pm 0.740 -2.964 1.328
Pm 4.374 -2.616 2.382
Pm 3.606 2.755 7.043
Pm 4.715 2.772 3.570
Pm 1.600 -3.823 4.765
Pm 3.319 -0.579 5.596
Pm 3.628 -4.225 -0.794
Pm 2.459 0.280 2.158
Pm 0.454 -6.298 -0.120
Pm -0.656 -6.315 3.353
Pm 0.431 0.682 7.718
Pm -0.315 -0.927 4.541
Bi 0.000 0.000 0.000
Bi 1.088 2.349 4.636
```

Values from the calculation:
* DFT formation energy: -3.19 eV/f.u.
* space group: No. 71

Crystalline Pr5Y5Tm2 at its relaxed geometry. Source: Alexandria, functional GGA-PBE.

```
12
Lattice="-4.368 2.234 1.437 -1.032 -8.019 0.236 5.292 4.494 9.102" Properties=species:S:1:pos:R:3 pbc="T T T"
Pr 2.036 3.314 10.135
Pr -2.144 -4.605 0.640
Pr 1.285 -2.388 7.623
Pr -1.394 1.098 3.152
Pr 0.462 3.364 5.269
Y 0.000 0.000 0.000
Y 1.580 -0.049 4.880
Y 0.178 1.056 7.995
Y -0.286 -2.346 2.780
Y -1.688 -1.241 5.895
Tm 3.429 2.216 6.980
Tm -3.537 -3.506 3.795
```

Values from the calculation:
* DFT formation energy: 0.23 eV/f.u.
* space group: No. 12

Crystalline TbTl2TeSe4 at its relaxed geometry. Source: Alexandria, functional GGA-PBE.

```
8
Lattice="4.163 0.000 0.000 0.000 8.020 -0.236 0.000 2.750 7.136" Properties=species:S:1:pos:R:3 pbc="T T T"
Tb 0.000 5.385 3.450
Tl 0.000 2.750 7.136
Tl 2.081 1.375 3.568
Te 2.081 6.760 7.018
Se 2.081 6.632 1.896
Se 0.000 7.710 5.316
Se 4.163 3.060 1.584
Se 2.081 4.138 5.004
```

Values from the calculation:
* space group: No. 10
* formation energy from raw total energies: -710 meV/atom

Crystalline Ac6Co3Rh at its relaxed geometry. Source: Alexandria, functional GGA-PBE.

```
20
Lattice="-0.182 -2.344 3.484 5.275 -9.244 -5.942 8.398 7.783 5.673" Properties=species:S:1:pos:R:3 pbc="T T T"
Ac 8.179 4.632 7.344
Ac 5.312 -8.436 -4.129
Ac 6.836 0.111 1.698
Ac 3.034 -5.120 0.517
Ac 7.411 1.580 5.251
Ac 9.971 -4.521 -1.254
Ac 10.248 -2.642 2.560
Ac 3.243 -1.162 0.655
Ac 10.457 1.316 2.698
Ac 3.520 0.718 4.469
Ac 6.656 -3.914 1.517
Ac 6.080 -5.384 -2.037
Rh 4.115 -7.723 -1.178
Rh 9.376 3.919 4.392
Co 11.755 -2.460 0.225
Co 7.970 -6.053 0.147
Co 8.576 -0.734 3.756
Co 4.915 -3.070 -0.541
Co 1.736 -1.343 2.989
Co 5.521 2.249 3.068
```

Values from the calculation:
* DFT formation energy: -1.22 eV/f.u.
* space group: No. 11

Crystalline Na2Ti2CuTe6 at its relaxed geometry. Source: Alexandria, functional GGA-PBE.

```
11
Lattice="-0.146 -0.832 6.859 0.851 -5.386 -4.246 7.461 3.118 -0.609" Properties=species:S:1:pos:R:3 pbc="T T T"
Na 0.017 -1.577 5.042
Na 0.688 -4.641 -2.430
Te 5.612 -0.045 -1.674
Te 2.890 -4.586 -0.056
Te 2.555 -3.055 3.678
Te 2.418 -0.699 0.504
Te 5.277 1.486 2.060
Te 5.749 -2.401 1.500
Ti 3.916 -0.783 2.872
Ti 4.251 -2.316 -0.868
Cu 3.731 1.559 -0.304
```

Values from the calculation:
* space group: No. 12
* formation energy from raw total energies: -568 meV/atom

Crystalline Tb7Sn4C at its relaxed geometry. Source: Alexandria, functional GGA-PBE.

```
12
Lattice="-1.612 4.667 -1.111 -5.271 2.620 7.126 5.083 5.438 3.943" Properties=species:S:1:pos:R:3 pbc="T T T"
Tb -2.037 5.642 3.602
Tb -3.444 2.929 5.772
Tb 1.037 3.668 2.378
Tb 0.237 7.083 6.356
Tb 1.644 9.797 4.186
Tb -2.837 9.057 7.580
Tb -0.806 2.334 -0.556
Sn -2.833 6.087 6.627
Sn -1.820 2.724 2.558
Sn 1.034 6.638 3.331
Sn 0.020 10.001 7.400
C 0.000 0.000 0.000
```

Values from the calculation:
* DFT formation energy: -4.52 eV/f.u.
* space group: No. 12

Crystalline BaTe2P at its relaxed geometry. Source: Alexandria, functional GGA-PBE.

```
4
Lattice="4.392 0.000 0.000 0.000 4.392 0.000 0.000 0.000 6.412" Properties=species:S:1:pos:R:3 pbc="T T T"
Ba 2.196 2.196 0.000
Te 0.000 0.000 1.727
Te 0.000 0.000 4.685
P 2.196 2.196 3.206
```

Values from the calculation:
* space group: No. 123
* formation energy from raw total energies: -220 meV/atom